1.
Compound: YBe2Cu
Source: the Alexandria database
Functional: PBE
Structure: relaxed

Results
- V: 14.3 Å³/atom
- Space-group type: Fm-3m (225)
- Energy of formation from the pure elements: 0.10 eV per atom
- Relative energy among the computed polymorphs: 217 meV per atom

a b c (Å): 6.1135 6.1135 6.1135
angles (deg): 90.00 90.00 90.00
Closest atoms and distances in Å follow each position.
Sites, in units of the cell vectors:
Y 0.0000 0.0000 0.0000  8 Be 2.65
Y 0.0000 0.5000 0.5000  8 Be 2.65
Y 0.5000 0.0000 0.5000  8 Be 2.65
Y 0.5000 0.5000 0.0000  8 Be 2.65
Be 0.2500 0.2500 0.2500  4 Cu 2.65, 4 Y 2.65
Be 0.2500 0.2500 0.7500  4 Cu 2.65, 4 Y 2.65
Be 0.2500 0.7500 0.2500  4 Cu 2.65, 4 Y 2.65
Be 0.2500 0.7500 0.7500  4 Cu 2.65, 4 Y 2.65
Be 0.7500 0.2500 0.2500  4 Cu 2.65, 4 Y 2.65
Be 0.7500 0.2500 0.7500  4 Cu 2.65, 4 Y 2.65
Be 0.7500 0.7500 0.2500  4 Cu 2.65, 4 Y 2.65
Be 0.7500 0.7500 0.7500  4 Cu 2.65, 4 Y 2.65
Cu 0.0000 0.0000 0.5000  8 Be 2.65
Cu 0.0000 0.5000 0.0000  8 Be 2.65
Cu 0.5000 0.0000 0.0000  8 Be 2.65
Cu 0.5000 0.5000 0.5000  8 Be 2.65

---

2.
Compound: InPPt2
Source: the Alexandria database
Functional: PBE
Structure: relaxed

Results
- V: 19.2 Å³/atom
- Space-group type: Cm (8)
- Energy of formation from the pure elements: -0.34 eV per atom
- Relative energy among the computed polymorphs: 10 meV per atom

a b c (Å): 8.0725 3.2246 5.9167
angles (deg): 90.00 95.45 90.00
Closest atoms and distances in Å follow each position.
Sites, in units of the cell vectors:
In 0.0000 0.0000 0.0000  5 Pt 2.72-2.84
In 0.5000 0.5000 0.0000  5 Pt 2.72-2.84
P 0.2168 0.0000 0.5486  5 Pt 2.35-2.38
P 0.7168 0.5000 0.5486  5 Pt 2.35-2.38
Pt 0.0082 0.5000 0.6055  3 P 2.35-2.38
Pt 0.2382 0.5000 0.2581  2 P 2.38
Pt 0.5082 0.0000 0.6055  3 P 2.35-2.38
Pt 0.7382 0.0000 0.2581  2 P 2.38

---

3.
Compound: Co3Os
Source: the Alexandria database
Functional: PBE
Structure: relaxed

Results
- V: 12.1 Å³/atom
- Space-group type: Immm (71)
- Energy of formation from the pure elements: 0.27 eV per atom

a b c (Å): 2.6521 4.2916 8.4931
angles (deg): 90.00 90.00 90.00
Closest atoms and distances in Å follow each position.
Sites, in units of the cell vectors:
Co 0.0000 0.0000 0.0000  6 Co 2.43-2.65, 4 Os 2.52
Co 0.0000 0.5000 0.2605  8 Co 2.43-2.65, 2 Os 2.58
Co 0.0000 0.5000 0.7395  8 Co 2.43-2.65, 2 Os 2.58
Co 0.5000 0.0000 0.2395  8 Co 2.43-2.65, 2 Os 2.58
Co 0.5000 0.0000 0.7605  8 Co 2.43-2.65, 2 Os 2.58
Co 0.5000 0.5000 0.5000  6 Co 2.43-2.65, 4 Os 2.52
Os 0.0000 0.0000 0.5000  8 Co 2.52-2.58, 2 Os 2.65
Os 0.5000 0.5000 0.0000  8 Co 2.52-2.58, 2 Os 2.65

---

4.
Compound: Al3Zn5Ga12
Source: the Alexandria database
Functional: PBE
Structure: relaxed

Results
- V: 21.4 Å³/atom
- Space-group type: Ia-3d (230)
- Energy of formation from the pure elements: 0.16 eV per atom

a b c (Å): 13.0494 13.0494 13.0494
angles (deg): 109.47 109.47 109.47
Closest atoms and distances in Å follow each position.
Sites, in units of the cell vectors:
Al 0.1250 0.2500 0.3750  8 Ga 2.62-2.84
Al 0.1250 0.3750 0.7500  8 Ga 2.62-2.84
Al 0.2500 0.3750 0.1250  8 Ga 2.62-2.84
Al 0.2500 0.8750 0.6250  8 Ga 2.62-2.84
Al 0.3750 0.1250 0.2500  8 Ga 2.62-2.84
Al 0.3750 0.7500 0.1250  8 Ga 2.62-2.84
Al 0.6250 0.2500 0.8750  8 Ga 2.62-2.84
Al 0.6250 0.8750 0.7500  8 Ga 2.62-2.84
Al 0.7500 0.1250 0.3750  8 Ga 2.62-2.84
Al 0.7500 0.6250 0.8750  8 Ga 2.62-2.84
Al 0.8750 0.6250 0.2500  8 Ga 2.62-2.84
Al 0.8750 0.7500 0.6250  8 Ga 2.62-2.84
Zn 0.0000 0.0000 0.0000  6 Ga 2.58
Zn 0.0000 0.0000 0.5000  6 Ga 2.58
Zn 0.0000 0.5000 0.0000  6 Ga 2.58
Zn 0.0000 0.5000 0.5000  6 Ga 2.58
Zn 0.1250 0.7500 0.8750  4 Ga 2.52
Zn 0.1250 0.8750 0.2500  4 Ga 2.52
Zn 0.2500 0.1250 0.8750  4 Ga 2.52
Zn 0.2500 0.6250 0.3750  4 Ga 2.52
Zn 0.3750 0.2500 0.6250  4 Ga 2.52
Zn 0.3750 0.6250 0.7500  4 Ga 2.52
Zn 0.5000 0.0000 0.0000  6 Ga 2.58
Zn 0.5000 0.0000 0.5000  6 Ga 2.58
Zn 0.5000 0.5000 0.0000  6 Ga 2.58
Zn 0.5000 0.5000 0.5000  6 Ga 2.58
Zn 0.6250 0.3750 0.2500  4 Ga 2.52
Zn 0.6250 0.7500 0.3750  4 Ga 2.52
Zn 0.7500 0.3750 0.6250  4 Ga 2.52
Zn 0.7500 0.8750 0.1250  4 Ga 2.52
Zn 0.8750 0.1250 0.7500  4 Ga 2.52
Zn 0.8750 0.2500 0.1250  4 Ga 2.52
Ga 0.0632 0.2300 0.1362  2 Zn 2.52-2.58, 1 Al 2.62, 1 Ga 2.80
Ga 0.0632 0.3333 0.9270  2 Zn 2.52-2.58, 1 Al 2.62, 1 Ga 2.80
Ga 0.0730 0.6362 0.4062  2 Zn 2.52-2.58, 1 Al 2.62, 1 Ga 2.80
Ga 0.0730 0.9368 0.6667  2 Zn 2.52-2.58, 1 Al 2.62, 1 Ga 2.80
Ga 0.0938 0.7300 0.6667  2 Zn 2.52-2.58, 1 Al 2.62, 1 Ga 2.80
Ga 0.0938 0.8638 0.4270  2 Zn 2.52-2.58, 1 Al 2.62, 1 Ga 2.80
Ga 0.1362 0.0632 0.2300  2 Zn 2.52-2.58, 1 Al 2.62, 1 Ga 2.80
Ga 0.1362 0.5730 0.9062  2 Zn 2.52-2.58, 1 Al 2.62, 1 Ga 2.80
Ga 0.1667 0.2300 0.5938  2 Zn 2.52-2.58, 1 Al 2.62, 1 Ga 2.80
Ga 0.1667 0.4368 0.5730  2 Zn 2.52-2.58, 1 Al 2.62, 1 Ga 2.80
Ga 0.2300 0.1362 0.0632  2 Zn 2.52-2.58, 1 Al 2.62, 1 Ga 2.80
Ga 0.2300 0.5938 0.1667  2 Zn 2.52-2.58, 1 Al 2.62, 1 Ga 2.80
Ga 0.2700 0.3333 0.9062  2 Zn 2.52-2.58, 1 Al 2.62, 1 Ga 2.80
Ga 0.2700 0.4368 0.3638  2 Zn 2.52-2.58, 1 Al 2.62, 1 Ga 2.80
Ga 0.3333 0.9062 0.2700  2 Zn 2.52-2.58, 1 Al 2.62, 1 Ga 2.80
Ga 0.3333 0.9270 0.0632  2 Zn 2.52-2.58, 1 Al 2.62, 1 Ga 2.80
Ga 0.3638 0.2700 0.4368  2 Zn 2.52-2.58, 1 Al 2.62, 1 Ga 2.80
Ga 0.3638 0.5938 0.9270  2 Zn 2.52-2.58, 1 Al 2.62, 1 Ga 2.80
Ga 0.4062 0.0730 0.6362  2 Zn 2.52-2.58, 1 Al 2.62, 1 Ga 2.80
Ga 0.4062 0.8333 0.7700  2 Zn 2.52-2.58, 1 Al 2.62, 1 Ga 2.80
Ga 0.4270 0.0938 0.8638  2 Zn 2.52-2.58, 1 Al 2.62, 1 Ga 2.80
Ga 0.4270 0.8333 0.5632  2 Zn 2.52-2.58, 1 Al 2.62, 1 Ga 2.80
Ga 0.4368 0.3638 0.2700  2 Zn 2.52-2.58, 1 Al 2.62, 1 Ga 2.80
Ga 0.4368 0.5730 0.1667  2 Zn 2.52-2.58, 1 Al 2.62, 1 Ga 2.80
Ga 0.5632 0.4270 0.8333  2 Zn 2.52-2.58, 1 Al 2.62, 1 Ga 2.80
Ga 0.5632 0.6362 0.7300  2 Zn 2.52-2.58, 1 Al 2.62, 1 Ga 2.80
Ga 0.5730 0.1667 0.4368  2 Zn 2.52-2.58, 1 Al 2.62, 1 Ga 2.80
Ga 0.5730 0.9062 0.1362  2 Zn 2.52-2.58, 1 Al 2.62, 1 Ga 2.80
Ga 0.5938 0.1667 0.2300  2 Zn 2.52-2.58, 1 Al 2.62, 1 Ga 2.80
Ga 0.5938 0.9270 0.3638  2 Zn 2.52-2.58, 1 Al 2.62, 1 Ga 2.80
Ga 0.6362 0.4062 0.0730  2 Zn 2.52-2.58, 1 Al 2.62, 1 Ga 2.80
Ga 0.6362 0.7300 0.5632  2 Zn 2.52-2.58, 1 Al 2.62, 1 Ga 2.80
Ga 0.6667 0.0730 0.9368  2 Zn 2.52-2.58, 1 Al 2.62, 1 Ga 2.80
Ga 0.6667 0.0938 0.7300  2 Zn 2.52-2.58, 1 Al 2.62, 1 Ga 2.80
Ga 0.7300 0.5632 0.6362  2 Zn 2.52-2.58, 1 Al 2.62, 1 Ga 2.80
Ga 0.7300 0.6667 0.0938  2 Zn 2.52-2.58, 1 Al 2.62, 1 Ga 2.80
Ga 0.7700 0.4062 0.8333  2 Zn 2.52-2.58, 1 Al 2.62, 1 Ga 2.80
Ga 0.7700 0.8638 0.9368  2 Zn 2.52-2.58, 1 Al 2.62, 1 Ga 2.80
Ga 0.8333 0.5632 0.4270  2 Zn 2.52-2.58, 1 Al 2.62, 1 Ga 2.80
Ga 0.8333 0.7700 0.4062  2 Zn 2.52-2.58, 1 Al 2.62, 1 Ga 2.80
Ga 0.8638 0.4270 0.0938  2 Zn 2.52-2.58, 1 Al 2.62, 1 Ga 2.80
Ga 0.8638 0.9368 0.7700  2 Zn 2.52-2.58, 1 Al 2.62, 1 Ga 2.80
Ga 0.9062 0.1362 0.5730  2 Zn 2.52-2.58, 1 Al 2.62, 1 Ga 2.80
Ga 0.9062 0.2700 0.3333  2 Zn 2.52-2.58, 1 Al 2.62, 1 Ga 2.80
Ga 0.9270 0.0632 0.3333  2 Zn 2.52-2.58, 1 Al 2.62, 1 Ga 2.80
Ga 0.9270 0.3638 0.5938  2 Zn 2.52-2.58, 1 Al 2.62, 1 Ga 2.80
Ga 0.9368 0.6667 0.0730  2 Zn 2.52-2.58, 1 Al 2.62, 1 Ga 2.80
Ga 0.9368 0.7700 0.8638  2 Zn 2.52-2.58, 1 Al 2.62, 1 Ga 2.80

---

5.
Compound: Sc2InIr
Source: the Alexandria database
Functional: PBE
Structure: relaxed

Results
- V: 20.7 Å³/atom
- Space-group type: P4mm (99)
- Energy of formation from the pure elements: -0.40 eV per atom

a b c (Å): 3.1711 3.1711 8.2410
angles (deg): 90.00 90.00 90.00
Closest atoms and distances in Å follow each position.
Sites, in units of the cell vectors:
Sc 0.0000 0.0000 0.0000  4 Ir 2.72
Sc 0.5000 0.5000 0.3285  4 In 3.12, 4 Sc 3.17
In 0.0000 0.0000 0.5925  4 Ir 2.89, 4 Sc 3.12, 4 In 3.17
Ir 0.5000 0.5000 0.8134  4 Sc 2.72, 4 In 2.89

---

6.
Compound: NiMoPt2
Source: the Alexandria database
Functional: PBE
Structure: relaxed

Results
- V: 14.5 Å³/atom
- Space-group type: C2/m (12)
- Energy of formation from the pure elements: -0.16 eV per atom
- Relative energy among the computed polymorphs: 139 meV per atom

a b c (Å): 9.1083 2.7549 4.7081
angles (deg): 90.00 100.63 90.00
Closest atoms and distances in Å follow each position.
Sites, in units of the cell vectors:
Ni 0.0000 0.0000 0.0000  6 Pt 2.72-2.76, 4 Mo 2.73, 2 Ni 2.75
Ni 0.5000 0.5000 0.0000  6 Pt 2.72-2.76, 4 Mo 2.73, 2 Ni 2.75
Mo 0.0000 0.5000 0.5000  4 Ni 2.73, 6 Pt 2.73-2.75, 2 Mo 2.75
Mo 0.5000 0.0000 0.5000  4 Ni 2.73, 6 Pt 2.73-2.75, 2 Mo 2.75
Pt 0.2476 0.5000 0.2480  3 Ni 2.72-2.76, 6 Pt 2.72-2.75, 3 Mo 2.73-2.75
Pt 0.2524 0.0000 0.7520  3 Ni 2.72-2.76, 6 Pt 2.72-2.75, 3 Mo 2.73-2.75
Pt 0.7476 0.0000 0.2480  3 Ni 2.72-2.76, 6 Pt 2.72-2.75, 3 Mo 2.73-2.75
Pt 0.7524 0.5000 0.7520  3 Ni 2.72-2.76, 6 Pt 2.72-2.75, 3 Mo 2.73-2.75

---

Repeat the fifth record exactly.
Compound: Sc2InIr
Source: the Alexandria database
Functional: PBE
Structure: relaxed

Results
- V: 20.7 Å³/atom
- Space-group type: P4mm (99)
- Energy of formation from the pure elements: -0.40 eV per atom

a b c (Å): 3.1711 3.1711 8.2410
angles (deg): 90.00 90.00 90.00
Closest atoms and distances in Å follow each position.
Sites, in units of the cell vectors:
Sc 0.0000 0.0000 0.0000  4 Ir 2.72
Sc 0.5000 0.5000 0.3285  4 In 3.12, 4 Sc 3.17
In 0.0000 0.0000 0.5925  4 Ir 2.89, 4 Sc 3.12, 4 In 3.17
Ir 0.5000 0.5000 0.8134  4 Sc 2.72, 4 In 2.89

---

Q: The lowest V belongs to which entry?
A: Co3Os